Entry from Alexandria via LeMat-Bulk: crystalline Ti4MnN2 at its relaxed geometry (PBE).

Values from the calculation:
The calculated volume comes out at 11.941 A^3/atom. The calculation puts the total DFT energy (no corrections) at -65.011 eV per formula unit. The value obtained for the density of states at the Fermi level is 0.50 states/eV per atom. The formation energy from raw total energies comes out at -1.087 eV per atom. As for the total magnetic moment: 0.000 μB/cell.

```
data_Ti4MnN2
_chemical_formula_sum 'Ti16 Mn4 N8'
_symmetry_space_group_name_H-M 'C m c m'
_symmetry_Int_Tables_number 63
_symmetry_space_group_name_Hall '-C 2c 2'
_cell_length_a 3.0384
_cell_length_b 10.1895
_cell_length_c 10.7995
_cell_angle_alpha 90.00
_cell_angle_beta 90.00
_cell_angle_gamma 90.00
loop_
_atom_site_label
_atom_site_type_symbol
_atom_site_fract_x
_atom_site_fract_y
_atom_site_fract_z
Ti1 Ti 0.0000 0.0000 0.0000
Ti2 Ti 0.0000 0.2693 0.1094
Ti3 Ti 0.0000 0.4298 0.7500
Mn1 Mn 0.0000 0.1105 0.7500
N1 N 0.0000 0.3663 0.5592
```